(1)
A plane-wave DFT calculation with PBE was carried out for a relaxed structure of Dy2TmPuS6.

Geometry as POSCAR:
```
Dy2TmPuS6
1.0
6.906 0.000 0.000
3.453 5.981 0.000
3.453 1.994 6.198
Dy Tm Pu S
2 1 1 6
direct
0.517 0.517 0.449 Dy
0.016 0.016 0.953 Dy
0.317 0.317 0.049 Tm
0.815 0.815 0.554 Pu
0.611 0.219 0.250 S
0.219 0.921 0.250 S
0.921 0.611 0.250 S
0.410 0.714 0.754 S
0.714 0.121 0.754 S
0.121 0.410 0.754 S
```

Values from the calculation:
Magnetization, Bohr magnetons per cell: 5.000
Formation energy without anion corrections, eV/atom: -1.918

(2)
A plane-wave DFT calculation with PBE was carried out for a relaxed structure of Dy2Tm3PuS6.

Geometry as POSCAR:
```
Dy2Tm3PuS6
1.0
-1.329 -1.114 -3.450
-3.610 -6.047 3.344
-5.144 6.710 1.975
Dy Tm Pu S
2 3 1 6
direct
0.836 0.671 0.672 Dy
0.164 0.329 0.328 Dy
0.500 0.500 0.000 Tm
0.835 0.164 0.669 Tm
0.165 0.836 0.331 Tm
0.500 0.000 0.000 Pu
0.330 0.918 0.660 S
0.666 0.587 0.333 S
0.670 0.082 0.340 S
0.999 0.256 0.997 S
0.001 0.744 0.003 S
0.334 0.413 0.667 S
```

Values from the calculation:
Magnetization, Bohr magnetons per cell: 5.927
Formation energy without anion corrections, eV/atom: -1.951

(3)
A plane-wave DFT calculation with PBE was carried out for a relaxed structure of DyTm2PuS4.

Geometry as POSCAR:
```
DyTm2PuS4
1.0
-0.199 3.623 1.341
-3.482 1.830 -5.461
-4.295 -2.011 4.794
Dy Tm Pu S
1 2 1 4
direct
0.000 0.000 0.000 Dy
0.500 0.000 0.500 Tm
0.000 0.500 0.500 Tm
0.500 0.500 0.000 Pu
0.500 0.251 0.257 S
0.500 0.749 0.743 S
0.000 0.246 0.742 S
0.000 0.754 0.258 S
```

Values from the calculation:
Magnetization, Bohr magnetons per cell: 5.844
Formation energy without anion corrections, eV/atom: -1.933

(4)
A plane-wave DFT calculation with PBE was carried out for a relaxed structure of Dy2TmPu3S6.

Geometry as POSCAR:
```
Dy2TmPu3S6
1.0
3.912 0.000 0.000
0.000 7.835 0.294
-1.956 -2.242 8.248
Dy Tm Pu S
2 1 3 6
direct
0.834 0.664 0.667 Dy
0.166 0.336 0.333 Dy
0.500 0.000 0.000 Tm
0.500 0.500 0.000 Pu
0.833 0.166 0.666 Pu
0.167 0.834 0.334 Pu
0.335 0.915 0.671 S
0.668 0.583 0.336 S
0.665 0.085 0.329 S
0.001 0.244 0.002 S
0.999 0.756 0.998 S
0.332 0.417 0.664 S
```

Values from the calculation:
Magnetization, Bohr magnetons per cell: 5.580
Formation energy without anion corrections, eV/atom: -1.900

(5)
A plane-wave DFT calculation with PBE was carried out for a relaxed structure of Dy4TmPu3S8.

Geometry as POSCAR:
```
Dy4TmPu3S8
1.0
-4.011 -5.332 4.066
6.541 -1.988 3.846
-2.361 7.448 -0.072
Dy Tm Pu S
4 1 3 8
direct
0.500 0.000 0.000 Dy
0.500 0.000 0.500 Dy
0.000 0.000 0.000 Dy
0.000 0.000 0.500 Dy
0.000 0.500 0.000 Tm
0.500 0.500 0.000 Pu
0.500 0.500 0.500 Pu
0.000 0.500 0.500 Pu
0.248 0.751 0.003 S
0.248 0.751 0.496 S
0.249 0.247 0.498 S
0.754 0.751 0.003 S
0.246 0.249 0.997 S
0.751 0.753 0.502 S
0.752 0.249 0.504 S
0.752 0.249 0.997 S
```

Values from the calculation:
Magnetization, Bohr magnetons per cell: 17.112
Formation energy without anion corrections, eV/atom: -1.928

(6)
A plane-wave DFT calculation with PBE was carried out for a relaxed structure of DyPuU2S4.

Geometry as POSCAR:
```
DyPuU2S4
1.0
3.847 0.000 0.000
0.000 6.706 0.129
0.000 -2.333 6.444
Dy Pu U S
1 1 2 4
direct
0.000 0.000 0.000 Dy
0.500 0.500 0.000 Pu
0.500 0.000 0.500 U
0.000 0.500 0.500 U
0.500 0.247 0.250 S
0.500 0.753 0.750 S
0.000 0.247 0.750 S
0.000 0.753 0.250 S
```

Values from the calculation:
Magnetization, Bohr magnetons per cell: 4.954
Formation energy without anion corrections, eV/atom: -1.591

(7)
A plane-wave DFT calculation with PBE was carried out for a relaxed structure of Dy4YPu3S8.

Geometry as POSCAR:
```
Dy4YPu3S8
1.0
-2.919 6.898 2.293
-7.002 -1.969 -2.992
3.480 -4.705 5.206
Dy Y Pu S
4 1 3 8
direct
0.500 0.000 0.000 Dy
0.500 0.000 0.500 Dy
0.000 0.000 0.000 Dy
0.000 0.000 0.500 Dy
0.000 0.500 0.000 Y
0.500 0.500 0.000 Pu
0.500 0.500 0.500 Pu
0.000 0.500 0.500 Pu
0.250 0.753 0.003 S
0.250 0.753 0.501 S
0.249 0.247 0.498 S
0.752 0.753 0.003 S
0.248 0.247 0.997 S
0.751 0.753 0.502 S
0.750 0.247 0.499 S
0.750 0.247 0.997 S
```

Values from the calculation:
Magnetization, Bohr magnetons per cell: 17.178
Formation energy without anion corrections, eV/atom: -1.938

(8)
A plane-wave DFT calculation with PBE was carried out for a relaxed structure of DyYPu2S4.

Geometry as POSCAR:
```
DyYPu2S4
1.0
3.922 0.000 0.000
0.000 6.792 0.113
0.000 -2.371 6.422
Dy Y Pu S
1 1 2 4
direct
0.500 0.500 0.000 Dy
0.000 0.000 0.000 Y
0.500 0.000 0.500 Pu
0.000 0.500 0.500 Pu
0.500 0.249 0.247 S
0.500 0.751 0.753 S
0.000 0.252 0.753 S
0.000 0.748 0.247 S
```

Values from the calculation:
Magnetization, Bohr magnetons per cell: 11.405
Formation energy without anion corrections, eV/atom: -1.911

(9)
A plane-wave DFT calculation with PBE was carried out for a relaxed structure of DyY3Pu2S6.

Geometry as POSCAR:
```
DyY3Pu2S6
1.0
6.792 -0.002 0.001
-3.396 5.882 0.001
-1.132 -1.959 6.440
Dy Y Pu S
1 3 2 6
direct
0.000 0.000 0.000 Dy
0.167 0.833 0.500 Y
0.833 0.167 0.500 Y
0.500 0.500 0.500 Y
0.333 0.667 0.000 Pu
0.667 0.333 0.000 Pu
0.916 0.584 0.749 S
0.752 0.752 0.252 S
0.084 0.416 0.251 S
0.584 0.916 0.749 S
0.248 0.248 0.748 S
0.416 0.084 0.251 S
```

Values from the calculation:
Magnetization, Bohr magnetons per cell: 11.485
Formation energy without anion corrections, eV/atom: -1.947

(10)
A plane-wave DFT calculation with PBE was carried out for a relaxed structure of DyY2PuS6.

Geometry as POSCAR:
```
DyY2PuS6
1.0
-4.647 -0.817 -5.087
-6.488 -1.941 1.508
-5.369 5.050 -0.638
Dy Y Pu S
1 2 1 6
direct
0.316 0.316 0.053 Dy
0.516 0.516 0.451 Y
0.016 0.016 0.952 Y
0.815 0.815 0.554 Pu
0.616 0.219 0.250 S
0.219 0.915 0.250 S
0.915 0.616 0.250 S
0.410 0.717 0.753 S
0.717 0.121 0.753 S
0.121 0.410 0.753 S
```

Values from the calculation:
Magnetization, Bohr magnetons per cell: 5.000
Formation energy without anion corrections, eV/atom: -1.922

(11)
A plane-wave DFT calculation with PBE was carried out for a relaxed structure of Dy3YPu2S6.

Geometry as POSCAR:
```
Dy3YPu2S6
1.0
6.784 -0.002 0.001
-3.392 5.874 0.001
-1.130 -1.957 6.432
Dy Y Pu S
3 1 2 6
direct
0.167 0.833 0.500 Dy
0.833 0.167 0.500 Dy
0.500 0.500 0.500 Dy
0.000 0.000 0.000 Y
0.333 0.667 0.000 Pu
0.667 0.333 0.000 Pu
0.916 0.583 0.747 S
0.752 0.752 0.254 S
0.084 0.417 0.253 S
0.583 0.916 0.747 S
0.248 0.248 0.746 S
0.417 0.084 0.253 S
```

Values from the calculation:
Magnetization, Bohr magnetons per cell: 11.480
Formation energy without anion corrections, eV/atom: -1.945

(12)
A plane-wave DFT calculation with PBE was carried out for a relaxed structure of Dy2YPuS6.

Geometry as POSCAR:
```
Dy2YPuS6
1.0
-3.717 4.562 3.672
-6.815 -0.968 0.855
-2.399 -2.061 6.684
Dy Y Pu S
2 1 1 6
direct
0.516 0.516 0.451 Dy
0.016 0.016 0.952 Dy
0.316 0.316 0.053 Y
0.815 0.815 0.555 Pu
0.617 0.219 0.250 S
0.219 0.914 0.250 S
0.914 0.617 0.250 S
0.409 0.717 0.752 S
0.717 0.121 0.752 S
0.121 0.409 0.752 S
```

Values from the calculation:
Magnetization, Bohr magnetons per cell: 5.000
Formation energy without anion corrections, eV/atom: -1.921

(13)
A plane-wave DFT calculation with PBE was carried out for a relaxed structure of Dy3Y4PuS8.

Geometry as POSCAR:
```
Dy3Y4PuS8
1.0
7.834 0.000 0.000
0.000 7.835 -0.005
-3.917 -3.913 5.542
Dy Y Pu S
3 4 1 8
direct
0.500 0.500 0.000 Dy
0.500 0.500 0.500 Dy
0.000 0.500 0.500 Dy
0.500 0.000 0.000 Y
0.500 0.000 0.500 Y
0.000 0.000 0.000 Y
0.000 0.000 0.500 Y
0.000 0.500 0.000 Pu
0.251 0.750 0.999 S
0.251 0.750 0.502 S
0.250 0.251 0.501 S
0.748 0.750 0.999 S
0.252 0.250 0.001 S
0.750 0.749 0.499 S
0.749 0.250 0.498 S
0.749 0.250 0.001 S
```

Values from the calculation:
Magnetization, Bohr magnetons per cell: 5.780
Formation energy without anion corrections, eV/atom: -1.981

(14)
A plane-wave DFT calculation with PBE was carried out for a relaxed structure of DyPu3Sb4.

Geometry as POSCAR:
```
DyPu3Sb4
1.0
7.649 0.066 0.000
-2.614 7.187 0.000
0.000 0.000 8.833
Sb Pu Dy
8 6 2
direct
0.000 0.249 0.625 Sb
0.500 0.250 0.876 Sb
0.500 0.249 0.375 Sb
0.000 0.250 0.124 Sb
0.000 0.750 0.876 Sb
0.500 0.751 0.625 Sb
0.500 0.750 0.124 Sb
0.000 0.751 0.375 Sb
0.750 0.000 0.374 Pu
0.250 0.000 0.626 Pu
0.750 0.500 0.626 Pu
0.750 0.500 0.125 Pu
0.250 0.500 0.374 Pu
0.250 0.500 0.875 Pu
0.750 0.000 0.876 Dy
0.250 0.000 0.124 Dy
```

Values from the calculation:
Magnetization, Bohr magnetons per cell: 10.512
Formation energy without anion corrections, eV/atom: -0.718
Polymorph energy (0 for the lowest one), meV per atom: 0

(15)
A plane-wave DFT calculation with PBE was carried out for a relaxed structure of Dy2PuSb.

Geometry as POSCAR:
```
Dy2PuSb
1.0
3.549 0.000 0.000
1.774 3.073 0.000
1.774 1.024 10.605
Sb Dy Pu
1 2 1
direct
0.000 0.000 0.000 Sb
0.255 0.255 0.236 Dy
0.745 0.745 0.764 Dy
0.500 0.500 0.500 Pu
```

Values from the calculation:
Magnetization, Bohr magnetons per cell: 6.127
Formation energy without anion corrections, eV/atom: -0.182
Polymorph energy (0 for the lowest one), meV per atom: 234

(16)
A plane-wave DFT calculation with PBE was carried out for a relaxed structure of DyPu3Sb4.

Geometry as POSCAR:
```
DyPu3Sb4
1.0
4.420 0.000 0.000
0.000 7.637 -0.069
0.000 -2.474 7.226
Dy Pu Sb
1 3 4
direct
0.500 0.000 0.000 Dy
0.000 0.000 0.500 Pu
0.500 0.500 0.500 Pu
0.000 0.500 0.000 Pu
0.000 0.249 0.249 Sb
0.500 0.751 0.249 Sb
0.000 0.751 0.751 Sb
0.500 0.249 0.751 Sb
```

Values from the calculation:
Magnetization, Bohr magnetons per cell: 5.176
Formation energy without anion corrections, eV/atom: -0.703
Polymorph energy (0 for the lowest one), meV per atom: 15

(17)
A plane-wave DFT calculation with PBE was carried out for a relaxed structure of Dy4PuSb5.

Geometry as POSCAR:
```
Dy4PuSb5
1.0
-2.857 -3.313 0.429
0.712 -1.156 -4.181
12.592 -7.110 6.420
Dy Pu Sb
4 1 5
direct
0.399 0.399 0.799 Dy
0.800 0.800 0.599 Dy
0.200 0.200 0.401 Dy
0.601 0.601 0.201 Dy
0.000 0.000 0.000 Pu
0.100 0.100 0.201 Sb
0.500 0.500 0.000 Sb
0.900 0.900 0.799 Sb
0.300 0.300 0.600 Sb
0.700 0.700 0.400 Sb
```

Values from the calculation:
Magnetization, Bohr magnetons per cell: 5.068
Formation energy without anion corrections, eV/atom: -1.019

(18)
A plane-wave DFT calculation with PBE was carried out for a relaxed structure of Dy5PuSb4.

Geometry as POSCAR:
```
Dy5PuSb4
1.0
-0.232 -0.734 4.252
8.384 0.447 0.536
-2.952 9.091 -0.787
Dy Pu Sb
5 1 4
direct
0.823 0.647 0.646 Dy
0.838 0.175 0.676 Dy
0.162 0.825 0.324 Dy
0.500 0.500 0.000 Dy
0.177 0.353 0.354 Dy
0.500 0.000 0.000 Pu
0.329 0.909 0.658 Sb
0.992 0.741 0.984 Sb
0.671 0.091 0.342 Sb
0.008 0.259 0.016 Sb
```

Values from the calculation:
Magnetization, Bohr magnetons per cell: 5.719
Formation energy without anion corrections, eV/atom: -0.626

(19)
A plane-wave DFT calculation with PBE was carried out for a relaxed structure of Dy2PuSb3.

Geometry as POSCAR:
```
Dy2PuSb3
1.0
4.409 0.000 0.000
0.000 6.216 0.000
-2.205 -3.108 6.585
Dy Pu Sb
2 1 3
direct
0.833 0.833 0.167 Dy
0.167 0.167 0.833 Dy
0.500 0.500 0.500 Pu
0.833 0.333 0.166 Sb
0.167 0.667 0.834 Sb
0.500 0.000 0.500 Sb
```

Values from the calculation:
Magnetization, Bohr magnetons per cell: 5.062
Formation energy without anion corrections, eV/atom: -0.946

(20)
A plane-wave DFT calculation with PBE was carried out for a relaxed structure of DyPu5Sb6.

Geometry as POSCAR:
```
DyPu5Sb6
1.0
7.552 0.216 1.164
1.819 6.428 3.741
0.108 0.077 7.651
Sb Pu Dy
6 5 1
direct
0.751 0.083 0.333 Sb
0.249 0.584 0.333 Sb
0.250 0.249 0.000 Sb
0.750 0.751 0.000 Sb
0.751 0.416 0.667 Sb
0.249 0.917 0.667 Sb
0.500 0.167 0.666 Pu
0.000 0.334 0.333 Pu
0.500 0.500 0.000 Pu
0.000 0.666 0.667 Pu
0.500 0.833 0.334 Pu
0.000 0.000 0.000 Dy
```

Values from the calculation:
Magnetization, Bohr magnetons per cell: 5.272
Formation energy without anion corrections, eV/atom: -0.670